(1)
# LiMn2Cd2Pd5 (PBE, relaxed)
# - Magnetic moment: 18.0 μB/cell
data_LiMn2Cd2Pd5
_cell_length_a 10.513
_cell_length_b 10.513
_cell_length_c 2.988
_cell_angle_alpha 90.00
_cell_angle_beta 90.00
_cell_angle_gamma 90.00
_space_group_name_H-M_alt 'P 4/m b m'
_space_group_IT_number 127
_space_group_name_Hall '-P 4 2ab'
loop_
_atom_site_label
_atom_site_type_symbol
_atom_site_fract_x
_atom_site_fract_y
_atom_site_fract_z
Li1 Li 0.000 0.000 0.000
Mn1 Mn 0.146 0.354 0.000
Cd1 Cd 0.166 0.666 0.000
Pd1 Pd 0.000 0.500 0.500
Pd2 Pd 0.019 0.197 0.500

---

(2)
# LiPmMnCd (PBE, relaxed)
# - Magnetic moment: 19.4 μB/cell
data_LiPmMnCd
_cell_length_a 6.966
_cell_length_b 6.966
_cell_length_c 6.966
_cell_angle_alpha 90.00
_cell_angle_beta 90.00
_cell_angle_gamma 90.00
_space_group_name_H-M_alt 'F -4 3 m'
_space_group_IT_number 216
_space_group_name_Hall 'F -4 2 3'
loop_
_atom_site_label
_atom_site_type_symbol
_atom_site_fract_x
_atom_site_fract_y
_atom_site_fract_z
Li1 Li 0.000 0.000 0.000
Pm1 Pm 0.250 0.250 0.750
Mn1 Mn 0.000 0.000 0.500
Cd1 Cd 0.250 0.250 0.250

---

(3)
# LiMnCdSn (PBE, relaxed)
# - Magnetic moment: 14.6 μB/cell
data_LiMnCdSn
_cell_length_a 6.646
_cell_length_b 6.646
_cell_length_c 6.646
_cell_angle_alpha 90.00
_cell_angle_beta 90.00
_cell_angle_gamma 90.00
_space_group_name_H-M_alt 'F -4 3 m'
_space_group_IT_number 216
_space_group_name_Hall 'F -4 2 3'
loop_
_atom_site_label
_atom_site_type_symbol
_atom_site_fract_x
_atom_site_fract_y
_atom_site_fract_z
Li1 Li 0.000 0.000 0.000
Mn1 Mn 0.000 0.000 0.500
Cd1 Cd 0.250 0.250 0.250
Sn1 Sn 0.250 0.250 0.750

---

Number 1: DFT formation energy -0.15 eV/atom, ρ 8.8 g/cm³, electronic total energy -4.9556 eV/atom. Number 2: DFT formation energy 0.07 eV/atom, ρ 6.3 g/cm³, electronic total energy -4.1216 eV/atom. Number 3: DFT formation energy -0.06 eV/atom, ρ 6.6 g/cm³, electronic total energy -4.0640 eV/atom.